4
Lattice="-2.183 0.888 4.023 2.342 -0.238 4.025 0.970 3.898 2.367" Properties=species:S:1:pos:R:3 comment="NpScOsRu | the Alexandria database | PBE | relaxed" magmom_total_mub_per_fu=2.9 formation_enthalpy_0k_mev_per_atom=-242 sg="No. 216" pbc="T T T"
Ru 0.846 3.412 7.812
Np 0.564 2.274 5.208
Os 0.282 1.137 2.604
Sc 0.000 0.000 0.000

=====

4
Lattice="4.838 0.000 0.000 2.419 4.190 0.000 2.419 1.397 3.950" Properties=species:S:1:pos:R:3 comment="SmNpOsRu | the Alexandria database | PBE | relaxed" magmom_total_mub_per_fu=2.8 formation_enthalpy_0k_mev_per_atom=45 sg="No. 216" pbc="T T T"
Np 4.838 2.793 1.975
Sm 0.000 0.000 0.000
Ru 7.257 4.190 2.963
Os 2.419 1.397 0.988

=====

4
Lattice="4.800 0.000 0.000 2.400 4.157 0.000 2.400 1.386 3.919" Properties=species:S:1:pos:R:3 comment="TbNpOsRu | the Alexandria database | PBE | relaxed" magmom_total_mub_per_fu=2.8 formation_enthalpy_0k_mev_per_atom=-58 sg="No. 216" pbc="T T T"
Tb 0.000 0.000 0.000
Ru 7.200 4.157 2.939
Np 4.800 2.771 1.960
Os 2.400 1.386 0.980

=====

4
Lattice="-4.349 -0.136 -1.253 -1.108 -1.307 -4.191 -2.041 -3.987 -0.663" Properties=species:S:1:pos:R:3 comment="NpVOsRu | the Alexandria database | PBE | relaxed" magmom_total_mub_per_fu=2.9 formation_enthalpy_0k_mev_per_atom=98 sg="No. 216" pbc="T T T"
V 0.000 0.000 0.000
Np -3.749 -2.715 -3.054
Ru -1.875 -1.358 -1.527
Os -5.624 -4.073 -4.581

=====

4
Lattice="-1.412 3.341 -3.139 0.486 -0.775 -4.709 -3.879 -0.752 -2.720" Properties=species:S:1:pos:R:3 comment="YNpOsRu | the Alexandria database | PBE | relaxed" magmom_total_mub_per_fu=2.8 formation_enthalpy_0k_mev_per_atom=-61 sg="No. 216" pbc="T T T"
Ru -3.604 1.361 -7.926
Y 0.000 0.000 0.000
Os -1.201 0.454 -2.642
Np -2.403 0.907 -5.284

=====

4
Lattice="4.712 0.000 0.000 2.356 4.081 0.000 2.356 1.360 3.848" Properties=species:S:1:pos:R:3 comment="ZrNpOsRu | the Alexandria database | PBE | relaxed" magmom_total_mub_per_fu=3.2 formation_enthalpy_0k_mev_per_atom=-186 sg="No. 216" pbc="T T T"
Np 4.712 2.721 1.924
Ru 7.068 4.081 2.886
Os 2.356 1.360 0.962
Zr 0.000 0.000 0.000

=====

15
Lattice="-0.602 -7.516 -0.696 4.834 3.848 -4.377 2.621 -1.023 8.555" Properties=species:S:1:pos:R:3 comment="Np3Tl3OsS8 | the Alexandria database | PBE | relaxed" e_form_raw_kj_per_mol_fu=-1167 magmom_total_mub_per_fu=3.5 sg="No. 12" pbc="T T T"
S 0.489 -6.112 2.014
S 0.813 -2.033 2.387
S 3.745 -0.669 3.847
S 3.108 -4.022 -0.365
S 3.181 -0.249 0.020
S 6.364 1.421 1.468
S 3.673 -4.442 3.462
S 6.040 -2.658 1.095
Tl 2.116 -1.834 -2.537
Tl 0.000 0.000 0.000
Tl 2.417 1.924 -2.188
Os 1.311 -0.512 4.277
Np 3.427 -2.346 1.741
Np 3.728 1.412 2.089
Np 1.010 -4.270 3.929

=====

17
Lattice="7.670 0.000 -2.712 -3.835 6.642 -2.712 0.000 0.000 8.135" Properties=species:S:1:pos:R:3 comment="NpSb12Os4 | the Alexandria database | PBE | relaxed" e_form_raw_kj_per_mol_fu=-107 magmom_total_mub_per_fu=3.1 sg="No. 204" pbc="T T T"
Sb 5.678 1.040 2.740
Sb 1.897 1.205 5.452
Sb 0.696 3.286 -0.984
Sb -1.843 5.602 -0.029
Sb -0.095 2.245 2.683
Sb 3.139 3.356 3.696
Sb 3.930 4.397 0.029
Sb 3.194 1.040 0.984
Sb 1.938 5.437 -2.740
Sb -1.337 4.397 4.439
Sb 0.641 5.602 1.728
Sb 5.172 2.245 -1.728
Os -1.917 3.321 -1.356
Os 3.835 0.000 -1.356
Os 0.000 0.000 4.067
Os 1.917 3.321 1.356
Np 0.000 0.000 0.000